Entry 1:
DFT (PBE-GGA) results for a relaxed Dy6Er5Mg2 crystal.

abc: 10.2652 22.3724 3.5159
angles: 90.00 90.00 90.00
Positions (direct):
Dy1 0.0191 0.1127 0.0000
Dy2 0.1426 0.3819 0.0000
Dy3 0.1699 0.6338 0.5000
Dy4 0.3301 0.1338 0.5000
Dy5 0.3574 0.8819 0.0000
Dy6 0.4809 0.6127 0.0000
Dy7 0.5191 0.3873 0.0000
Dy8 0.6426 0.1181 0.0000
Dy9 0.6699 0.8662 0.5000
Dy10 0.8301 0.3662 0.5000
Dy11 0.8574 0.6181 0.0000
Dy12 0.9809 0.8873 0.0000
Er1 0.0000 0.5000 0.5000
Er2 0.0776 0.2488 0.5000
Er3 0.1659 0.9940 0.5000
Er4 0.3341 0.4940 0.5000
Er5 0.4224 0.7488 0.5000
Er6 0.5000 0.0000 0.5000
Er7 0.5776 0.2512 0.5000
Er8 0.6659 0.5060 0.5000
Er9 0.8341 0.0060 0.5000
Er10 0.9224 0.7512 0.5000
Mg1 0.1721 0.7605 0.0000
Mg2 0.3279 0.2605 0.0000
Mg3 0.6721 0.7395 0.0000
Mg4 0.8279 0.2395 0.0000

Formation enthalpy at 0 K, meV per atom: 143
SG: Pbam (55)
Calculated total energy, eV/atom: -3.98

Entry 2:
DFT (PBE-GGA) results for a relaxed Li3TbNp2S6 crystal.

abc: 6.8087 6.8087 6.5612
angles: 99.97 99.97 119.99
Positions (direct):
Li1 0.0000 0.0000 0.0000
Li2 0.3338 0.6662 0.0000
Li3 0.6662 0.3338 0.0000
Tb1 0.5000 0.5000 0.5000
Np1 0.1666 0.8334 0.5000
Np2 0.8334 0.1666 0.5000
S1 0.0808 0.4159 0.2478
S2 0.2495 0.2495 0.7531
S3 0.4159 0.0808 0.2478
S4 0.5841 0.9192 0.7522
S5 0.7505 0.7505 0.2469
S6 0.9192 0.5841 0.7522

Raw formation energy, eV per atom: -1.51
SG: C2/m (12)
Calculated total energy, eV/atom: -6.59

Entry 3:
DFT (PBE-GGA) results for a relaxed AsHPd2 crystal.

abc: 5.4700 5.4700 5.4700
angles: 44.28 44.28 44.28
Positions (direct):
As1 0.0000 0.0000 0.0000
H1 0.5000 0.5000 0.5000
Pd1 0.3851 0.3851 0.3851
Pd2 0.6149 0.6149 0.6149

Distance to the lowest polymorph of the same formula, meV per atom: 131
SG: R-3m (166)
Calculated total energy, eV/atom: -4.61

Entry 4:
DFT (PBE-GGA) results for a relaxed NbSbN2 crystal.

abc: 6.0888 6.0888 6.0888
angles: 127.04 127.04 78.18
Positions (direct):
Nb1 0.0000 0.0000 0.0000
Nb2 0.7500 0.2500 0.5000
Sb1 0.2500 0.7500 0.5000
Sb2 0.5000 0.5000 0.0000
N1 0.0234 0.6250 0.8984
N2 0.3750 0.2734 0.3984
N3 0.7266 0.1250 0.1016
N4 0.8750 0.9766 0.6016

Raw formation energy, eV per atom: 0.00
SG: I-42d (122)
Calculated total energy, eV/atom: -7.71